Computed, not measured: a relaxed Ba2PdPb crystal at the PBE level of DFT.

Output
Magnetization, μB/atom: 0.00
Electronic total energy, eV/atom: -3.66
ΔH_f (0 K), eV/atom: -0.475

The structure in CIF format:
```
data_Ba2PdPb
_chemical_formula_sum 'Ba2 Pd1 Pb1'
_space_group_name_H-M_alt 'P 4/m m m'
_space_group_IT_number 123
_space_group_name_Hall '-P 4 2'
_cell_length_a 3.9139
_cell_length_b 3.9139
_cell_length_c 9.0482
_cell_angle_alpha 90.00
_cell_angle_beta 90.00
_cell_angle_gamma 90.00
loop_
_atom_site_label
_atom_site_type_symbol
_atom_site_fract_x
_atom_site_fract_y
_atom_site_fract_z
Ba1 Ba 0.0000 0.0000 0.2166
Pd1 Pd 0.5000 0.5000 0.0000
Pb1 Pb 0.5000 0.5000 0.5000
```